{
  "formula": "Ba3Sc2S2O4",
  "functional": "PBE",
  "state": "relaxed",
  "cell": [[-1.851, 1.975, -3.336], [0.787, -3.428, -2.467], [-10.011, -3.924, 5.999]],
  "species": ["Ba", "Ba", "Ba", "Sc", "Sc", "S", "S", "O", "O", "O", "O"],
  "fractional_positions": [[0.000, 0.000, 0.000], [0.168, 0.168, 0.336], [0.832, 0.832, 0.664], [0.410, 0.410, 0.820], [0.590, 0.590, 0.180], [0.306, 0.306, 0.613], [0.694, 0.694, 0.387], [0.424, 0.924, 0.847], [0.924, 0.424, 0.847], [0.076, 0.576, 0.153], [0.576, 0.076, 0.153]],
  "sg": "I4/mmm (139)",
  "e_form_raw_ev_per_atom": -2.68
}

---

{
  "formula": "BaScS2O8",
  "functional": "PBE",
  "state": "relaxed",
  "cell": [[-5.269, 0.408, -0.804], [2.323, -4.814, 0.104], [-1.174, -0.405, 7.495]],
  "species": ["Ba", "Sc", "S", "S", "O", "O", "O", "O", "O", "O", "O", "O"],
  "fractional_positions": [[0.000, 0.000, 0.000], [0.000, 0.000, 0.500], [0.667, 0.333, 0.248], [0.333, 0.667, 0.752], [0.333, 0.667, 0.948], [0.361, 0.184, 0.310], [0.816, 0.177, 0.310], [0.667, 0.333, 0.052], [0.184, 0.823, 0.690], [0.639, 0.816, 0.690], [0.177, 0.361, 0.690], [0.823, 0.639, 0.310]],
  "sg": "P-3 (147)",
  "e_form_raw_ev_per_atom": -2.04
}

---

{
  "formula": "Ba4SeS2O",
  "functional": "PBE",
  "state": "relaxed",
  "cell": [[-1.170, -8.006, -3.838], [8.334, 0.236, -3.268], [-1.402, 1.008, 8.799]],
  "species": ["Ba", "Ba", "Ba", "Ba", "Ba", "Ba", "Ba", "Ba", "Se", "Se", "S", "S", "S", "S", "O", "O"],
  "fractional_positions": [[0.226, 0.785, 0.005], [0.715, 0.274, 0.495], [0.285, 0.726, 0.505], [0.774, 0.215, 0.995], [0.747, 0.753, 0.999], [0.747, 0.753, 0.501], [0.253, 0.247, 0.499], [0.253, 0.247, 0.001], [0.000, 0.500, 0.000], [0.000, 0.500, 0.500], [0.500, 0.000, 0.000], [0.500, 0.000, 0.500], [0.000, 0.000, 0.500], [0.500, 0.500, 0.000], [0.500, 0.500, 0.500], [0.000, 0.000, 0.000]],
  "sg": "Imma (74)",
  "e_form_raw_ev_per_atom": -2.07
}

---

{
  "formula": "Ba3SeSO",
  "functional": "PBE",
  "state": "relaxed",
  "cell": [[4.517, 0.000, 0.000], [0.000, 9.349, 0.799], [0.000, -2.763, 9.906]],
  "species": ["Ba", "Ba", "Ba", "Ba", "Ba", "Ba", "Se", "Se", "S", "S", "O", "O"],
  "fractional_positions": [[0.250, 0.830, 0.488], [0.750, 0.901, 0.162], [0.750, 0.415, 0.152], [0.750, 0.170, 0.512], [0.250, 0.585, 0.848], [0.250, 0.099, 0.838], [0.750, 0.819, 0.789], [0.250, 0.181, 0.211], [0.250, 0.653, 0.152], [0.750, 0.347, 0.848], [0.250, 0.092, 0.600], [0.750, 0.908, 0.400]],
  "sg": "P2_1/m (11)",
  "e_form_raw_ev_per_atom": -2.13
}

---

{
  "formula": "Ba4Se2SO",
  "functional": "PBE",
  "state": "relaxed",
  "cell": [[-4.134, -0.997, -7.941], [7.949, 0.200, -4.233], [-1.451, -5.953, 6.650]],
  "species": ["Ba", "Ba", "Ba", "Ba", "Ba", "Ba", "Ba", "Ba", "Se", "Se", "Se", "Se", "S", "S", "O", "O"],
  "fractional_positions": [[0.224, 0.765, 0.995], [0.735, 0.276, 0.505], [0.265, 0.724, 0.495], [0.776, 0.235, 0.005], [0.753, 0.747, 0.982], [0.753, 0.747, 0.518], [0.247, 0.253, 0.482], [0.247, 0.253, 0.018], [0.500, 0.000, 0.000], [0.500, 0.000, 0.500], [0.000, 0.000, 0.500], [0.500, 0.500, 0.000], [0.000, 0.500, 0.000], [0.000, 0.500, 0.500], [0.500, 0.500, 0.500], [0.000, 0.000, 0.000]],
  "sg": "Imma (74)",
  "e_form_raw_ev_per_atom": -2.06
}

---

{
  "formula": "BaSiS2O",
  "functional": "PBE",
  "state": "relaxed",
  "cell": [[-0.178, -5.635, -1.292], [2.552, -0.546, 2.030], [-3.673, -0.888, 4.379]],
  "species": ["S", "S", "Si", "Ba", "O"],
  "fractional_positions": [[0.000, 0.000, 0.500], [0.500, 0.000, 0.000], [0.000, 0.500, 0.000], [0.500, 0.500, 0.500], [0.000, 0.000, 0.000]],
  "sg": "P4/mmm (123)",
  "e_form_raw_ev_per_atom": -0.49
}

---

{
  "formula": "Ba6Sn2SO",
  "functional": "PBE",
  "state": "relaxed",
  "cell": [[-0.279, -3.306, 7.444], [6.589, -4.472, -1.739], [6.775, 8.427, 3.997]],
  "species": ["Ba", "Ba", "Ba", "Ba", "Ba", "Ba", "Ba", "Ba", "Ba", "Ba", "Ba", "Ba", "Sn", "Sn", "Sn", "Sn", "S", "S", "O", "O"],
  "fractional_positions": [[0.500, 0.250, 0.262], [0.500, 0.250, 0.738], [0.000, 0.750, 0.238], [0.000, 0.750, 0.762], [0.262, 0.010, 0.500], [0.738, 0.010, 0.500], [0.261, 0.487, 0.500], [0.739, 0.487, 0.500], [0.761, 0.513, 0.000], [0.239, 0.513, 0.000], [0.238, 0.990, 0.000], [0.762, 0.990, 0.000], [0.500, 0.750, 0.250], [0.000, 0.250, 0.750], [0.500, 0.750, 0.750], [0.000, 0.250, 0.250], [0.000, 0.749, 0.500], [0.500, 0.251, 0.000], [0.500, 0.249, 0.500], [0.000, 0.751, 0.000]],
  "sg": "Pmmn (59)",
  "e_form_raw_ev_per_atom": -1.21
}

---

{
  "formula": "BaSn2SO2",
  "functional": "PBE",
  "state": "relaxed",
  "cell": [[-2.116, -2.108, -5.325], [-2.771, -5.968, 3.464], [-3.578, 8.942, -2.118]],
  "species": ["Ba", "Ba", "Sn", "Sn", "Sn", "Sn", "S", "S", "O", "O", "O", "O"],
  "fractional_positions": [[0.750, 0.325, 0.732], [0.250, 0.675, 0.268], [0.504, 0.173, 0.274], [0.996, 0.173, 0.274], [0.004, 0.827, 0.726], [0.496, 0.827, 0.726], [0.250, 0.209, 0.822], [0.750, 0.791, 0.178], [0.250, 0.106, 0.379], [0.250, 0.617, 0.503], [0.750, 0.894, 0.621], [0.750, 0.383, 0.497]],
  "sg": "P2_1/m (11)",
  "e_form_raw_ev_per_atom": -1.39
}

---

{
  "formula": "Ba2SnSO",
  "functional": "PBE",
  "state": "relaxed",
  "cell": [[6.221, 0.000, 0.000], [0.000, 6.221, 0.000], [0.000, 0.000, 3.885]],
  "species": ["S", "Ba", "Ba", "O", "Sn"],
  "fractional_positions": [[0.000, 0.000, 0.000], [0.000, 0.500, 0.000], [0.500, 0.000, 0.000], [0.000, 0.000, 0.500], [0.500, 0.500, 0.500]],
  "sg": "P4/mmm (123)",
  "e_form_raw_ev_per_atom": -0.75
}

---

{
  "formula": "BaSrS2O6",
  "functional": "PBE",
  "state": "relaxed",
  "cell": [[6.951, -0.271, 0.035], [-1.120, 6.866, 0.035], [-1.658, -1.875, 7.000]],
  "species": ["Ba", "Ba", "Sr", "Sr", "S", "S", "S", "S", "O", "O", "O", "O", "O", "O", "O", "O", "O", "O", "O", "O"],
  "fractional_positions": [[0.149, 0.851, 0.250], [0.851, 0.149, 0.750], [0.570, 0.430, 0.250], [0.430, 0.570, 0.750], [0.344, 0.077, 0.788], [0.923, 0.656, 0.712], [0.656, 0.923, 0.212], [0.077, 0.344, 0.288], [0.927, 0.448, 0.189], [0.552, 0.073, 0.311], [0.073, 0.552, 0.811], [0.448, 0.927, 0.689], [0.148, 0.219, 0.128], [0.781, 0.852, 0.372], [0.852, 0.781, 0.872], [0.219, 0.148, 0.628], [0.271, 0.520, 0.396], [0.480, 0.729, 0.104], [0.729, 0.480, 0.604], [0.520, 0.271, 0.896]],
  "sg": "C2/c (15)",
  "e_form_raw_ev_per_atom": -2.16
}

---

{
  "formula": "Ba3Ta2S2O5",
  "functional": "PBE",
  "state": "relaxed",
  "cell": [[-1.618, 2.095, 3.289], [-0.363, -3.626, 2.131], [12.057, 2.288, 1.766]],
  "species": ["Ba", "Ba", "Ba", "Ta", "Ta", "S", "S", "O", "O", "O", "O", "O"],
  "fractional_positions": [[0.173, 0.173, 0.346], [0.827, 0.827, 0.654], [0.000, 0.000, 0.000], [0.416, 0.416, 0.832], [0.584, 0.584, 0.168], [0.691, 0.691, 0.382], [0.309, 0.309, 0.618], [0.584, 0.084, 0.168], [0.416, 0.916, 0.832], [0.084, 0.584, 0.168], [0.916, 0.416, 0.832], [0.500, 0.500, 0.000]],
  "sg": "I4/mmm (139)",
  "e_form_raw_ev_per_atom": -2.48
}

---

{
  "formula": "BaTaSO2",
  "functional": "PBE",
  "state": "relaxed",
  "cell": [[5.915, 0.000, 0.000], [0.000, 5.915, 0.000], [-2.958, -2.958, 4.983]],
  "species": ["Ba", "Ba", "Ta", "Ta", "S", "S", "O", "O", "O", "O"],
  "fractional_positions": [[0.791, 0.291, 0.582], [0.291, 0.791, 0.582], [0.994, 0.994, 0.988], [0.494, 0.494, 0.988], [0.739, 0.739, 0.477], [0.239, 0.239, 0.477], [0.238, 0.738, 0.976], [0.738, 0.738, 0.976], [0.738, 0.238, 0.976], [0.238, 0.238, 0.976]],
  "sg": "P4mm (99)",
  "e_form_raw_ev_per_atom": -2.25
}